(1)
CdH6N2Cl2 | SCAN | PBEsol geometry

Summary:
- Fermi-level density of states (states/eV per cell) = 0.0
- electronic total energy (eV/atom) = -8.478
- space group = No. 5
- total magnetic moment (Bohr magnetons per cell) = 0.00
- V (Å³/cell) = 130.32

Geometry as extended XYZ:
```
11
Lattice="4.0816 -4.0189 0.0000 4.0816 4.0189 0.0000 -0.1847 0.0000 3.9722" Properties=species:S:1:pos:R:3 pbc="T T T"
Cd 0.0000 0.0000 0.0000
H 2.5838 0.8270 0.6400
H 2.4910 0.0188 3.1699
H 2.5926 -0.8256 0.6211
H 5.3946 0.8270 3.3323
H 5.4874 0.0188 0.8023
H 5.3859 -0.8256 3.3512
N 2.2294 0.0045 0.1227
N 5.7490 0.0045 3.8496
Cl 3.9892 2.1489 1.9861
Cl 3.9892 -2.1483 1.9861
```


(2)
CdH4NCl3 | SCAN | PBEsol geometry

Summary:
- Fermi-level density of states (states/eV per cell) = 0.0
- electronic total energy (eV/atom) = -9.476
- space group = No. 62
- total magnetic moment (Bohr magnetons per cell) = 0.00
- V (Å³/cell) = 527.09

Geometry as extended XYZ:
```
36
Lattice="9.0874 0.0000 0.0000 0.0000 3.9744 0.0000 0.0000 0.0000 14.5939" Properties=species:S:1:pos:R:3 pbc="T T T"
Cd 1.4874 0.9936 0.8544
Cd 3.0563 2.9808 8.1514
Cd 6.0311 0.9936 6.4425
Cd 7.6000 2.9808 13.7394
H 0.1703 2.9808 5.6863
H 0.4338 0.9936 10.4780
H 1.0164 2.1535 4.4195
H 1.0164 3.8082 4.4195
H 3.5273 0.1663 11.7164
H 3.5273 1.8209 11.7164
H 4.1099 2.9808 3.1811
H 4.3734 0.9936 12.9832
H 4.7140 2.9808 1.6107
H 4.9775 0.9936 11.4128
H 5.5601 2.1535 2.8774
H 5.5601 3.8082 2.8774
H 8.0710 0.1663 10.1743
H 8.0710 1.8209 10.1743
H 8.6536 2.9808 4.1158
H 8.9171 0.9936 8.9076
N 0.4349 2.9808 4.6810
N 4.1087 0.9936 11.9779
N 4.9786 2.9808 2.6160
N 8.6524 0.9936 9.9129
Cl 0.2352 0.9936 13.1342
Cl 1.5355 0.9936 7.3204
Cl 2.1325 2.9808 10.5221
Cl 2.4112 0.9936 3.2251
Cl 3.0082 2.9808 0.0235
Cl 4.3085 2.9808 5.8373
Cl 4.7789 0.9936 8.7565
Cl 6.0792 0.9936 14.5704
Cl 6.6762 2.9808 11.3687
Cl 6.9549 0.9936 4.0718
Cl 7.5519 2.9808 7.2734
Cl 8.8522 2.9808 1.4596
```


(3)
CdH3Cl3O | SCAN | PBEsol geometry

Summary:
- Fermi-level density of states (states/eV per cell) = 0.0
- electronic total energy (eV/atom) = -9.887
- space group = No. 62
- total magnetic moment (Bohr magnetons per cell) = 0.00
- V (Å³/cell) = 562.87

Geometry as extended XYZ:
```
32
Lattice="9.0182 0.0000 0.0000 0.0000 4.0776 0.0000 0.0000 0.0000 15.3068" Properties=species:S:1:pos:R:3 pbc="T T T"
Cd 1.8432 1.0194 0.3007
Cd 2.6659 3.0582 7.9541
Cd 6.3523 1.0194 7.3527
Cd 7.1750 3.0582 15.0061
H 0.1949 3.0582 3.3322
H 0.4745 0.2136 10.6950
H 0.4745 1.8252 10.6950
H 4.0346 2.2524 3.0416
H 4.0346 3.8640 3.0416
H 4.3142 1.0194 10.9856
H 4.7040 3.0582 4.3212
H 4.9836 0.2136 12.2652
H 4.9836 1.8252 12.2652
H 8.5437 2.2524 4.6118
H 8.5437 3.8640 4.6118
H 8.8233 1.0194 11.9746
Cl 0.1519 3.0582 1.3901
Cl 1.4463 1.0194 7.0724
Cl 1.8403 3.0582 10.4050
Cl 2.6688 1.0194 2.7516
Cl 3.0628 3.0582 14.7258
Cl 4.3572 1.0194 9.0435
Cl 4.6610 3.0582 6.2633
Cl 5.9554 1.0194 0.5810
Cl 6.3494 3.0582 12.5552
Cl 7.1780 1.0194 4.9018
Cl 7.5719 3.0582 8.2344
Cl 8.8663 1.0194 13.9167
O 0.1263 3.0582 4.3543
O 4.3828 1.0194 12.0077
O 4.6354 3.0582 3.2991
O 8.8919 1.0194 10.9525
```


(4)
CdHClO | SCAN | PBEsol geometry

Summary:
- Fermi-level density of states (states/eV per cell) = 0.0
- electronic total energy (eV/atom) = -13.259
- space group = No. 186
- total magnetic moment (Bohr magnetons per cell) = 0.00
- V (Å³/cell) = 118.62

Geometry as extended XYZ:
```
8
Lattice="3.6628 0.0000 0.0000 -1.8314 3.1721 0.0000 0.0000 0.0000 10.2092" Properties=species:S:1:pos:R:3 pbc="T T T"
Cd 0.0000 2.1147 0.0000
Cd 1.8314 1.0574 5.1046
H 0.0000 0.0000 3.3097
H 0.0000 0.0000 8.4143
Cl 0.0000 2.1147 6.7893
Cl 1.8314 1.0574 1.6847
O 0.0000 0.0000 4.2943
O 0.0000 0.0000 9.3989
```


(5)
SrCd2H16Cl6O8 | SCAN | PBEsol geometry

Summary:
- Fermi-level density of states (states/eV per cell) = 0.0
- electronic total energy (eV/atom) = -8.398
- space group = No. 2
- total magnetic moment (Bohr magnetons per cell) = 0.00
- V (Å³/cell) = 815.31

Geometry as extended XYZ:
```
66
Lattice="7.5919 0.0000 0.0000 0.4070 8.9074 0.0000 1.7380 2.6725 12.0565" Properties=species:S:1:pos:R:3 pbc="T T T"
Sr 0.9858 4.0222 4.7801
Sr 8.7512 7.5577 7.2763
Cd 1.2940 7.4631 1.1195
Cd 4.6144 3.8714 10.8373
Cd 5.1226 7.7085 1.2191
Cd 8.4429 4.1168 10.9369
H 1.9665 10.3115 8.8347
H 1.4754 9.7609 4.4745
H 1.9238 3.1347 1.7372
H 3.2154 7.0253 9.6155
H 2.7929 5.0231 7.1278
H 2.9517 9.7724 5.8062
H 3.1703 8.4643 4.9137
H 2.6896 4.4629 2.0509
H 3.3675 5.4288 5.6696
H 3.9234 8.2520 8.8296
H 3.4735 2.7774 6.5319
H 3.6813 2.4650 4.9578
H 3.6831 2.7698 2.9754
H 4.6715 6.7176 7.9204
H 4.2162 6.1680 4.0089
H 5.2141 10.1577 8.7849
H 4.5229 1.4221 3.2716
H 5.5208 5.4119 8.0476
H 5.0654 4.8623 4.1360
H 6.0539 8.8101 9.0810
H 6.0557 9.1149 7.0987
H 6.2634 8.8025 5.5245
H 5.8135 3.3279 3.2268
H 6.3695 6.1511 6.3869
H 7.0474 7.1169 10.0055
H 6.5667 3.1156 7.1427
H 6.7852 1.8074 6.2502
H 6.9441 6.5568 4.9287
H 6.5216 4.5546 2.4409
H 7.8132 8.4452 10.3193
H 8.2616 1.8190 7.5819
H 7.7705 1.2684 3.2218
Cl 1.3315 6.8306 3.5281
Cl 3.0089 10.9695 10.6637
Cl 2.8831 5.6970 11.3673
Cl 2.7348 0.5236 1.3445
Cl 3.3131 5.9371 0.6631
Cl 4.5844 3.5142 8.2453
Cl 5.1526 8.0657 3.8112
Cl 6.4239 5.6428 11.3934
Cl 7.0022 11.0563 10.7119
Cl 6.8539 5.8829 0.6892
Cl 6.7281 0.6104 1.3928
Cl 8.4055 4.7493 8.5283
O 1.5476 9.9625 8.0163
O 2.5569 8.8738 5.5703
O 2.5784 5.5263 6.3093
O 3.2864 7.4756 8.7354
O 2.3385 3.6326 2.4798
O 3.0027 2.4805 5.7126
O 4.1589 5.2335 4.3288
O 5.2838 9.2012 8.5491
O 4.4531 2.3786 3.5074
O 5.5780 6.3464 7.7276
O 6.7343 9.0993 6.3439
O 7.3985 7.9473 9.5766
O 6.4506 4.1043 3.3211
O 7.1586 6.0536 5.7472
O 7.1800 2.7061 6.4862
O 8.1894 1.6174 4.0402
```


(6)
Hf2CdRuCl | SCAN | PBEsol geometry

Summary:
- Fermi-level density of states (states/eV per cell) = 4.0
- electronic total energy (eV/atom) = -39.446
- space group = No. 123
- total magnetic moment (Bohr magnetons per cell) = 0.00
- uncorrected formation energy (meV/atom) = 267
- V (Å³/cell) = 93.69

Geometry as extended XYZ:
```
5
Lattice="4.6332 0.0000 0.0000 0.0000 4.6332 0.0000 0.0000 0.0000 4.3644" Properties=species:S:1:pos:R:3 pbc="T T T"
Hf 0.0000 2.3166 0.0000
Hf 2.3166 0.0000 0.0000
Cd 0.0000 0.0000 2.1822
Ru 2.3166 2.3166 2.1822
Cl 2.3166 2.3166 0.0000
```


(7)
Cd2HgCl | SCAN | PBEsol geometry

Summary:
- ΔE to the lowest computed polymorph (meV per atom) = 0
- Fermi-level density of states (states/eV per cell) = 1.0
- electronic total energy (eV/atom) = -34.507
- space group = No. 12
- total magnetic moment (Bohr magnetons per cell) = 0.00
- uncorrected formation energy (meV/atom) = -264
- V (Å³/cell) = 92.62

Geometry as extended XYZ:
```
4
Lattice="3.0789 -4.1192 0.0000 3.0789 4.1192 0.0000 -1.2718 0.0000 3.6515" Properties=species:S:1:pos:R:3 pbc="T T T"
Cd 1.5394 2.0596 0.0000
Cd 1.5394 -2.0596 0.0000
Hg -0.6359 0.0000 1.8258
Cl 2.4430 0.0000 1.8258
```


(8)
CdHg2Cl | SCAN | PBEsol geometry

Summary:
- ΔE to the lowest computed polymorph (meV per atom) = 0
- Fermi-level density of states (states/eV per cell) = 0.7
- electronic total energy (eV/atom) = -44.038
- space group = No. 160
- total magnetic moment (Bohr magnetons per cell) = 0.00
- uncorrected formation energy (meV/atom) = -357
- V (Å³/cell) = 98.29

Geometry as extended XYZ:
```
4
Lattice="1.8830 1.0871 8.0027 -1.8830 1.0871 8.0027 0.0000 -2.1743 8.0027" Properties=species:S:1:pos:R:3 pbc="T T T"
Cd 0.0000 0.0000 0.0000
Hg 0.0000 0.0000 11.9083
Hg 0.0000 0.0000 17.8757
Cl 0.0000 0.0000 6.3698
```


(9)
CdHgCl2 | SCAN | PBEsol geometry

Summary:
- ΔE to the lowest computed polymorph (meV per atom) = 0
- Fermi-level density of states (states/eV per cell) = 0.0
- electronic total energy (eV/atom) = -29.538
- space group = No. 166
- total magnetic moment (Bohr magnetons per cell) = 0.00
- uncorrected formation energy (meV/atom) = -904
- V (Å³/cell) = 111.41

Geometry as extended XYZ:
```
4
Lattice="1.8792 1.0850 9.1069 -1.8792 1.0850 9.1069 0.0000 -2.1699 9.1069" Properties=species:S:1:pos:R:3 pbc="T T T"
Cd 0.0000 0.0000 0.0000
Hg 0.0000 0.0000 13.6603
Cl 0.0000 0.0000 7.6400
Cl 0.0000 0.0000 19.6807
```


(10)
CdHg2Cl | SCAN | PBEsol geometry

Summary:
- ΔE to the lowest computed polymorph (meV per atom) = 138
- Fermi-level density of states (states/eV per cell) = 0.6
- electronic total energy (eV/atom) = -43.900
- space group = No. 123
- total magnetic moment (Bohr magnetons per cell) = 0.00
- uncorrected formation energy (meV/atom) = -219
- V (Å³/cell) = 89.36

Geometry as extended XYZ:
```
4
Lattice="3.4256 0.0000 0.0000 0.0000 3.4256 0.0000 0.0000 0.0000 7.6148" Properties=species:S:1:pos:R:3 pbc="T T T"
Cd 0.0000 0.0000 0.0000
Hg 1.7128 1.7128 1.8591
Hg 1.7128 1.7128 5.7557
Cl 0.0000 0.0000 3.8074
```


(11)
CdHgCl | SCAN | PBEsol geometry

Summary:
- Fermi-level density of states (states/eV per cell) = 3.7
- electronic total energy (eV/atom) = -35.507
- space group = No. 216
- total magnetic moment (Bohr magnetons per cell) = 0.00
- uncorrected formation energy (meV/atom) = 13
- V (Å³/cell) = 85.65

Geometry as extended XYZ:
```
3
Lattice="0.0000 3.4986 3.4986 3.4986 0.0000 3.4986 3.4986 3.4986 0.0000" Properties=species:S:1:pos:R:3 pbc="T T T"
Cd 0.0000 0.0000 0.0000
Hg 3.4986 3.4986 3.4986
Cl 5.2479 5.2479 5.2479
```


(12)
CdHg2Cl | SCAN | PBEsol geometry

Summary:
- ΔE to the lowest computed polymorph (meV per atom) = 127
- Fermi-level density of states (states/eV per cell) = 1.3
- electronic total energy (eV/atom) = -43.912
- space group = No. 139
- total magnetic moment (Bohr magnetons per cell) = 0.00
- uncorrected formation energy (meV/atom) = -231
- V (Å³/cell) = 94.78

Geometry as extended XYZ:
```
4
Lattice="-2.0584 2.0584 5.5923 2.0584 -2.0584 5.5923 2.0584 2.0584 -5.5923" Properties=species:S:1:pos:R:3 pbc="T T T"
Cd 0.0000 0.0000 0.0000
Hg 2.0584 0.0000 2.7961
Hg 0.0000 2.0584 2.7961
Cl 0.0000 0.0000 5.5923
```


> electronic total energy of number 1 (CdH6N2Cl2)?

-8.478 eV/atom